# Al3CuBr, optimized geometry, DFT GGA-PBE
# Total moment (μB/f.u.): 0.00
# Crystal system: cubic
# Energy relative to the lowest polymorph listed for this composition (kJ/mol of formula units): 515.2
# Fermi-level density of states (states/eV/atom): 0.44
# Final energy (eV per formula unit): -11.34
# E_form (uncorrected) (meV/atom): 1132
data_Al3CuBr
_cell_length_a 5.328
_cell_length_b 5.328
_cell_length_c 5.328
_cell_angle_alpha 90.00
_cell_angle_beta 90.00
_cell_angle_gamma 90.00
_space_group_name_H-M_alt 'P m -3 m'
_space_group_IT_number 221
_space_group_name_Hall '-P 4 2 3'
loop_
_atom_site_label
_atom_site_fract_x
_atom_site_fract_y
_atom_site_fract_z
_atom_site_occupancy
Al1 0.000 0.000 0.500 1
Cu1 0.500 0.500 0.500 1
Br1 0.000 0.000 0.000 1